The following is a PBE calculation of a geometry-optimized Tm2GaNi6 structure, from Alexandria.

Cell and atoms, written as POSCAR:
```
Tm2GaNi6
1.0
4.4584 -2.6199 0.0000
4.4584 2.6199 0.0000
-1.3434 0.0000 5.5797
Tm Ga Ni
2 1 6
direct
0.1445 0.1445 0.3401
0.8555 0.8555 0.6599
0.5000 0.5000 0.5000
0.0992 0.6294 0.1674
0.3706 0.9008 0.8326
0.3802 0.3802 0.8280
0.6198 0.6198 0.1720
0.6294 0.0992 0.1674
0.9008 0.3706 0.8326
```

Computed properties:
Formation enthalpy at 0 K ... -4.10 eV per formula unit
Energy above the lowest structure with this stoichiometry ... 0.0000 eV/atom

=====

The following is a PBE calculation of a geometry-optimized ZrAl2Cl structure, from Alexandria.

Cell and atoms, written as POSCAR:
```
ZrAl2Cl
1.0
5.3513 -1.5305 0.0000
5.3513 1.5305 0.0000
-1.4221 0.0000 4.9825
Zr Al Cl
1 2 1
direct
0.0000 0.0000 0.0000
0.5292 0.5292 0.4925
0.7433 0.7433 0.1244
0.3261 0.3261 0.6788
```

Computed properties:
Energy above the lowest structure with this stoichiometry ... 0.1359 eV/atom
ΔE_f (raw) ... -0.30 eV/atom

=====

The following is a PBE calculation of a geometry-optimized PrYTh2 structure, from Alexandria.

Cell and atoms, written as POSCAR:
```
PrYTh2
1.0
1.7614 1.0169 12.5192
-1.7614 1.0169 12.5192
0.0000 -2.0339 12.5192
Pr Y Th
1 1 2
direct
0.0000 0.0000 0.0000
0.5000 0.5000 0.5000
0.0883 0.0883 0.0883
0.9117 0.9117 0.9117
```

Computed properties:
Formation enthalpy at 0 K ... 0.78 eV per formula unit
Energy above the lowest structure with this stoichiometry ... 0.1671 eV/atom

=====

The following is a PBE calculation of a geometry-optimized CoOs2AuN structure, from Alexandria.

Cell and atoms, written as POSCAR:
```
CoOs2AuN
1.0
4.9218 0.0000 0.0000
0.0000 4.9218 0.0000
0.0000 0.0000 4.6381
Co Os Au N
1 2 1 1
direct
0.0000 0.0000 0.0000
0.0000 0.5000 0.5000
0.5000 0.0000 0.5000
0.0000 0.0000 0.5000
0.5000 0.5000 0.0000
```

Computed properties:
Energy above the lowest structure with this stoichiometry ... 2.5958 eV/atom
ΔE_f (raw) ... 3.61 eV/atom

=====

The following is a PBE calculation of a geometry-optimized Ho2Er2Hg structure, from Alexandria.

Cell and atoms, written as POSCAR:
```
Ho2Er2Hg
1.0
-2.5043 2.5043 12.3776
2.5043 -2.5043 12.3776
2.5043 2.5043 -12.3776
Ho Er Hg
4 4 2
direct
0.0492 0.2992 0.7500
0.2992 0.0492 0.2500
0.7008 0.9508 0.7500
0.9508 0.7008 0.2500
0.1980 0.4480 0.7500
0.4480 0.1980 0.2500
0.5520 0.8020 0.7500
0.8020 0.5520 0.2500
0.1250 0.8750 0.2500
0.8750 0.1250 0.7500
```

Computed properties:
Formation enthalpy at 0 K ... -0.17 eV per formula unit

=====

The following is a PBE calculation of a geometry-optimized LaY2Ho6 structure, from Alexandria.

Cell and atoms, written as POSCAR:
```
LaY2Ho6
1.0
3.5888 0.0000 0.0000
-1.7944 3.1080 0.0000
0.0000 0.0000 26.2453
La Y Ho
1 2 6
direct
0.0000 0.0000 0.0000
0.3333 0.6667 0.3295
0.3333 0.6667 0.6705
0.0000 0.0000 0.2204
0.0000 0.0000 0.4358
0.0000 0.0000 0.5642
0.0000 0.0000 0.7796
0.3333 0.6667 0.1144
0.3333 0.6667 0.8856
```

Computed properties:
Formation enthalpy at 0 K ... 0.53 eV per formula unit
Energy above the lowest structure with this stoichiometry ... 0.0000 eV/atom

=====

The following is a PBE calculation of a geometry-optimized Pm2Pa2Te7 structure, from Alexandria.

Cell and atoms, written as POSCAR:
```
Pm2Pa2Te7
1.0
4.4935 -6.8181 0.0000
4.4935 6.8181 0.0000
-0.8697 0.0000 7.9730
Pm Pa Te
2 2 7
direct
0.1864 0.8136 0.0000
0.8136 0.1864 0.0000
0.2015 0.2015 0.6126
0.7985 0.7985 0.3874
0.0670 0.4588 0.7682
0.0988 0.0988 0.2325
0.4588 0.0670 0.7682
0.5000 0.5000 0.5000
0.5412 0.9330 0.2318
0.9012 0.9012 0.7675
0.9330 0.5412 0.2318
```

Computed properties:
Energy above the lowest structure with this stoichiometry ... 0.2225 eV/atom
ΔE_f (raw) ... -0.87 eV/atom

=====

The following is a PBE calculation of a geometry-optimized SmErGa3 structure, from Alexandria.

Cell and atoms, written as POSCAR:
```
SmErGa3
1.0
2.1147 -12.7929 0.0000
2.1147 12.7929 0.0000
0.0000 0.0000 4.1834
Sm Er Ga
2 2 6
direct
0.0735 0.9265 0.7500
0.9265 0.0735 0.2500
0.2041 0.7959 0.2500
0.7959 0.2041 0.7500
0.3224 0.6776 0.2500
0.3793 0.6207 0.7500
0.4758 0.5242 0.7500
0.5242 0.4758 0.2500
0.6207 0.3793 0.2500
0.6776 0.3224 0.7500
```

Computed properties:
Formation enthalpy at 0 K ... -3.29 eV per formula unit

=====

The following is a PBE calculation of a geometry-optimized LiDy2Hg structure, from Alexandria.

Cell and atoms, written as POSCAR:
```
LiDy2Hg
1.0
0.0000 3.6916 3.6916
3.6916 0.0000 3.6916
3.6916 3.6916 0.0000
Li Dy Hg
1 2 1
direct
0.0000 0.0000 0.0000
0.2500 0.2500 0.2500
0.7500 0.7500 0.7500
0.5000 0.5000 0.5000
```

Computed properties:
Formation enthalpy at 0 K ... -0.84 eV per formula unit
Energy above the lowest structure with this stoichiometry ... 0.0189 eV/atom

=====

The following is a PBE calculation of a geometry-optimized Ac2Pb3Au2 structure, from Alexandria.

Cell and atoms, written as POSCAR:
```
Ac2Pb3Au2
1.0
2.4184 -11.1400 0.0000
2.4184 11.1400 0.0000
0.0000 0.0000 3.9673
Ac Pb Au
2 3 2
direct
0.1658 0.8342 0.0000
0.8342 0.1658 0.0000
0.0000 0.0000 0.0000
0.4252 0.5748 0.5000
0.5748 0.4252 0.5000
0.2857 0.7143 0.5000
0.7143 0.2857 0.5000
```

Computed properties:
Formation enthalpy at 0 K ... -3.65 eV per formula unit
Energy above the lowest structure with this stoichiometry ... 0.0361 eV/atom

=====

The following is a PBE calculation of a geometry-optimized CaLaTm2In4 structure, from Alexandria.

Cell and atoms, written as POSCAR:
```
CaLaTm2In4
1.0
2.6896 1.5528 8.8731
-2.6896 1.5528 8.8731
0.0000 -3.1056 8.8731
Ca La Tm In
1 1 2 4
direct
0.0000 0.0000 0.0000
0.5000 0.5000 0.5000
0.2514 0.2514 0.2514
0.7486 0.7486 0.7486
0.1235 0.1235 0.1235
0.3735 0.3735 0.3735
0.6265 0.6265 0.6265
0.8765 0.8765 0.8765
```

Computed properties:
Formation enthalpy at 0 K ... -3.59 eV per formula unit

=====

The following is a PBE calculation of a geometry-optimized Y2ErTmSc structure, from Alexandria.

Cell and atoms, written as POSCAR:
```
Y2ErTmSc
1.0
4.0673 -5.5586 0.0000
4.0673 5.5586 0.0000
0.0000 0.0000 7.0896
Y Er Tm Sc
4 2 2 2
direct
0.1983 0.1983 0.0000
0.1983 0.1983 0.5000
0.8017 0.8017 0.0000
0.8017 0.8017 0.5000
0.2316 0.7684 0.7500
0.7684 0.2316 0.2500
0.2310 0.7690 0.2500
0.7690 0.2310 0.7500
0.5000 0.5000 0.2500
0.5000 0.5000 0.7500
```

Computed properties:
Formation enthalpy at 0 K ... 1.86 eV per formula unit

=====

The following is a PBE calculation of a geometry-optimized LaBeAl3 structure, from Alexandria.

Cell and atoms, written as POSCAR:
```
LaBeAl3
1.0
5.7097 0.0000 0.0000
0.0000 5.7097 0.0000
0.0000 0.0000 5.7097
La Be Al
1 1 3
direct
0.0000 0.0000 0.0000
0.5000 0.5000 0.5000
0.0000 0.0000 0.5000
0.0000 0.5000 0.0000
0.5000 0.0000 0.0000
```

Computed properties:
Formation enthalpy at 0 K ... 8.71 eV per formula unit
Energy above the lowest structure with this stoichiometry ... 1.7276 eV/atom

=====

The following is a PBE calculation of a geometry-optimized CeCdPt structure, from Alexandria.

Cell and atoms, written as POSCAR:
```
CeCdPt
1.0
5.1459 0.0000 0.0000
0.0000 5.1459 0.0000
0.0000 0.0000 5.5700
Ce Cd Pt
2 2 2
direct
0.2500 0.2500 0.1713
0.7500 0.7500 0.8287
0.2500 0.7500 0.5000
0.7500 0.2500 0.5000
0.2500 0.2500 0.7095
0.7500 0.7500 0.2905
```

Computed properties:
Formation enthalpy at 0 K ... -1.62 eV per formula unit

=====

The following is a PBE calculation of a geometry-optimized Na2TlTe structure, from Alexandria.

Cell and atoms, written as POSCAR:
```
Na2TlTe
1.0
-2.5666 2.5666 10.2782
2.5666 -2.5666 10.2782
2.5666 2.5666 -10.2782
Na Tl Te
4 2 2
direct
0.1002 0.6250 0.9752
0.3750 0.3502 0.4752
0.6498 0.1250 0.0248
0.8750 0.8998 0.5248
0.2500 0.7500 0.5000
0.5000 0.5000 0.0000
0.0000 0.0000 0.0000
0.7500 0.2500 0.5000
```

Computed properties:
Energy above the lowest structure with this stoichiometry ... 0.1904 eV/atom
ΔE_f (raw) ... -0.35 eV/atom

=====

The following is a PBE calculation of a geometry-optimized TaNb3S structure, from Alexandria.

Cell and atoms, written as POSCAR:
```
TaNb3S
1.0
4.9220 0.0000 0.0000
0.0000 4.9220 0.0000
0.0000 0.0000 4.9220
Ta Nb S
1 3 1
direct
0.0000 0.0000 0.0000
0.0000 0.0000 0.5000
0.0000 0.5000 0.0000
0.5000 0.0000 0.0000
0.5000 0.5000 0.5000
```

Computed properties:
Energy above the lowest structure with this stoichiometry ... 1.8467 eV/atom
ΔE_f (raw) ... 1.59 eV/atom

=====

The following is a PBE calculation of a geometry-optimized Li4Cd3Pd structure, from Alexandria.

Cell and atoms, written as POSCAR:
```
Li4Cd3Pd
1.0
-2.0162 2.0585 8.5462
2.0162 -2.0585 8.5462
2.0162 2.0585 -8.5462
Li Cd Pd
4 3 1
direct
0.1166 0.1166 0.0000
0.2522 0.7522 0.5000
0.7478 0.2478 0.5000
0.8834 0.8834 0.0000
0.0000 0.5000 0.5000
0.3712 0.3712 0.0000
0.6288 0.6288 0.0000
0.5000 0.0000 0.5000
```

Computed properties:
Formation enthalpy at 0 K ... -2.25 eV per formula unit
Energy above the lowest structure with this stoichiometry ... 0.0000 eV/atom

=====

The following is a PBE calculation of a geometry-optimized TlTeBr3 structure, from Alexandria.

Cell and atoms, written as POSCAR:
```
TlTeBr3
1.0
5.7971 0.0000 0.0000
0.0000 5.7971 0.0000
0.0000 0.0000 5.7971
Tl Te Br
1 1 3
direct
0.0000 0.0000 0.0000
0.5000 0.5000 0.5000
0.0000 0.5000 0.5000
0.5000 0.0000 0.5000
0.5000 0.5000 0.0000
```

Computed properties:
Energy above the lowest structure with this stoichiometry ... 0.0741 eV/atom
ΔE_f (raw) ... -0.39 eV/atom

=====

The following is a PBE calculation of a geometry-optimized CsCdInTe3 structure, from Alexandria.

Cell and atoms, written as POSCAR:
```
CsCdInTe3
1.0
6.4092 -6.4094 0.0000
6.4092 6.4094 0.0000
-3.1989 0.0000 24.7087
Cs Cd In Te
8 8 8 24
direct
0.1068 0.7306 0.9233
0.2692 0.3951 0.5767
0.2694 0.8932 0.5767
0.3951 0.2692 0.0767
0.6049 0.7308 0.9233
0.7306 0.1068 0.4233
0.7308 0.6049 0.4233
0.8932 0.2694 0.0767
0.0603 0.4351 0.7500
0.0604 0.9396 0.7500
0.4351 0.0603 0.2500
0.4352 0.5648 0.2500
0.5648 0.4352 0.7500
0.5649 0.9397 0.7500
0.9396 0.0604 0.2500
0.9397 0.5649 0.2500
0.1553 0.7804 0.1218
0.2194 0.3444 0.3778
0.2196 0.8447 0.3782
0.3444 0.2194 0.8778
0.6556 0.7806 0.1222
0.7804 0.1553 0.6218
0.7806 0.6556 0.6222
0.8447 0.2196 0.8782
0.0642 0.6699 0.6797
0.0646 0.1697 0.6793
0.1121 0.2372 0.9480
0.1697 0.0646 0.1793
0.1698 0.5251 0.1794
0.2372 0.1121 0.4480
0.2369 0.6119 0.4479
0.3301 0.4744 0.8203
0.3301 0.9358 0.8203
0.3881 0.7631 0.0521
0.4744 0.3301 0.3203
0.4749 0.8302 0.3206
0.5251 0.1698 0.6794
0.5256 0.6699 0.6797
0.6119 0.2369 0.9479
0.6699 0.0642 0.1797
0.6699 0.5256 0.1797
0.7631 0.3881 0.5521
0.7628 0.8879 0.5520
0.8302 0.4749 0.8206
0.8303 0.9354 0.8207
0.8879 0.7628 0.0520
0.9354 0.8303 0.3207
0.9358 0.3301 0.3203
```

Computed properties:
ΔE_f (raw) ... -0.66 eV/atom

=====

The following is a PBE calculation of a geometry-optimized TlCuHg2 structure, from Alexandria.

Cell and atoms, written as POSCAR:
```
TlCuHg2
1.0
3.2895 0.0000 0.0000
0.0000 3.2895 0.0000
0.0000 0.0000 8.4453
Tl Cu Hg
1 1 2
direct
0.0000 0.0000 0.0000
0.0000 0.0000 0.5000
0.5000 0.5000 0.3068
0.5000 0.5000 0.6932
```

Computed properties:
Formation enthalpy at 0 K ... 0.55 eV per formula unit

=====

The following is a PBE calculation of a geometry-optimized Na2BeF4 structure, from Alexandria.

Cell and atoms, written as POSCAR:
```
Na2BeF4
1.0
2.9902 -4.8279 0.0000
2.9902 4.8279 0.0000
-2.9851 0.0000 6.0408
Na Be F
4 2 8
direct
0.0609 0.9391 0.7500
0.3116 0.6884 0.2500
0.6884 0.3116 0.7500
0.9391 0.0609 0.2500
0.3746 0.6254 0.7500
0.6254 0.3746 0.2500
0.1918 0.6401 0.8894
0.2505 0.3035 0.6101
0.3035 0.2505 0.1101
0.3599 0.8082 0.6106
0.6401 0.1918 0.3894
0.6965 0.7495 0.8899
0.7495 0.6965 0.3899
0.8082 0.3599 0.1106
```

Computed properties:
Energy above the lowest structure with this stoichiometry ... 0.0087 eV/atom
ΔE_f (raw) ... -3.02 eV/atom

=====

The following is a PBE calculation of a geometry-optimized Na2BiSO8 structure, from Alexandria.

Cell and atoms, written as POSCAR:
```
Na2BiSO8
1.0
5.1970 0.0000 0.0000
-2.5985 4.5007 0.0000
0.0000 0.0000 6.3260
Na Bi S O
2 1 1 8
direct
0.3333 0.6667 0.3840
0.6667 0.3333 0.6160
0.0000 0.0000 0.0000
0.0000 0.0000 0.5000
0.1474 0.2949 0.6527
0.1474 0.8526 0.6527
0.2949 0.1474 0.3473
0.3333 0.6667 0.0155
0.6667 0.3333 0.9845
0.7051 0.8526 0.6527
0.8526 0.1474 0.3473
0.8526 0.7051 0.3473
```

Computed properties:
ΔE_f (raw) ... -0.48 eV/atom

=====

The following is a PBE calculation of a geometry-optimized YSiTe4 structure, from Alexandria.

Cell and atoms, written as POSCAR:
```
YSiTe4
1.0
0.0000 4.4186 4.4186
4.4186 0.0000 4.4186
4.4186 4.4186 0.0000
Y Si Te
1 1 4
direct
0.0000 0.0000 0.0000
0.7500 0.7500 0.7500
0.3750 0.3750 0.3750
0.3750 0.3750 0.8751
0.3750 0.8751 0.3750
0.8751 0.3750 0.3750
```

Computed properties:
ΔE_f (raw) ... 0.36 eV/atom

=====

| no. | raw total energy (eV per atom) |
| --- | --- |
| 1 | -5.64 |
| 2 | -4.77 |
| 3 | -6.33 |
| 4 | -4.63 |
| 5 | -3.75 |
| 6 | -4.98 |
| 7 | -5.46 |
| 8 | -4.33 |
| 9 | -3.07 |
| 10 | -4.22 |
| 11 | -3.80 |
| 12 | -5.29 |
| 13 | -2.23 |
| 14 | -4.83 |
| 15 | -2.38 |
| 16 | -7.65 |
| 17 | -2.23 |
| 18 | -2.50 |
| 19 | -2.98 |
| 20 | -1.63 |
| 21 | -5.00 |
| 22 | -4.67 |
| 23 | -3.71 |